Entry from the Alexandria database: Y2ThN3 after structural relaxation (PBE).

Calculated values
Size of the total moment, μB/f.u.: 0.0
Energy relative to the elements, uncorrected, eV/atom: -1.306
Electronic total energy, eV per atom: -8.860
Calculated density, Mg/m³: 7.8

Lattice parameters (Å, degrees): 3.493 7.030 8.553 108.28 90.00 104.39
Atoms (fractional coordinates):
1 Y 0.173 0.346 0.339
2 Y 0.827 0.654 0.661
3 Y 0.327 0.654 0.161
4 Y 0.673 0.346 0.839
5 Th 0.500 0.000 0.000
6 Th 0.000 0.000 0.500
7 N 0.971 0.942 0.195
8 N 0.029 0.058 0.805
9 N 0.694 0.388 0.138
10 N 0.306 0.612 0.862
11 N 0.360 0.719 0.473
12 N 0.640 0.281 0.527